DFT (PBE) results for an optimized crystal structure of Ba3Cd2Ge4.

Computed properties:
Total moment ... 0.00 μB/f.u.
Energy relative to the elements ... -47 kJ per mole of atoms
Space group ... C2/m (12)

abc: 4.6085 6.7472 9.4012
angles: 96.04 90.00 109.97
With the nearest neighbours (Å) after each atom.
Sites, in units of the cell vectors:
Ba: 0.6611 0.3221 0.6709  6 Ge 3.39-3.71, 4 Cd 3.61
Ba: 0.0000 0.0000 0.0000  8 Ge 3.47-3.78, 4 Cd 3.72
Ba: 0.3389 0.6779 0.3291  6 Ge 3.39-3.71, 4 Cd 3.61
Cd: 0.6181 0.2363 0.2847  3 Ge 2.68-2.72
Cd: 0.3819 0.7637 0.7153  3 Ge 2.68-2.72
Ge: 0.7055 0.4110 0.0331  2 Ge 2.67, 1 Cd 2.72
Ge: 0.2945 0.5890 0.9669  2 Ge 2.67, 1 Cd 2.72
Ge: 0.9436 0.8872 0.6047  1 Ge 2.56, 2 Cd 2.68
Ge: 0.0564 0.1128 0.3953  1 Ge 2.56, 2 Cd 2.68